Computed, not measured: crystalline HoZr2In at its relaxed geometry at the PBE level of DFT.

Unit cell a=4.5704 b=4.5707 c=4.5707 alpha=90.00 beta=90.00 gamma=90.00
Positions (direct):
Zr1 0.0000 0.5000 0.0000
In1 0.5000 0.0000 0.0000
Ho1 0.5000 0.5000 0.5000
Zr2 0.0000 0.0000 0.5000

Values from the calculation:
Space group: P4/mmm
Formation enthalpy at 0 K (eV per atom): -0.19
Fermi-level density of states (states/eV per cell): 4.0


Computed, not measured: crystalline HoZr4In5 at its relaxed geometry at the PBE level of DFT.

Unit cell a=3.2056 b=3.2056 c=22.2285 alpha=90.00 beta=90.00 gamma=90.00
Site moments in Bohr magnetons follow the coordinates.
Positions (direct):
In1 0.5000 0.5000 0.3038  0.00
Zr1 0.0000 0.0000 0.7941  0.00
In2 0.5000 0.5000 0.8931  0.00
In3 0.5000 0.5000 0.5000  0.00
In4 0.5000 0.5000 0.1069  0.00
Ho1 0.0000 0.0000 0.0000  0.32
In5 0.5000 0.5000 0.6962  0.00
Zr2 0.0000 0.0000 0.4017  0.00
Zr3 0.0000 0.0000 0.5983  0.00
Zr4 0.0000 0.0000 0.2059  0.00

Values from the calculation:
Space group: P4/mmm
Formation enthalpy at 0 K (eV per atom): -0.33
Fermi-level density of states (states/eV per cell): 9.7


Computed, not measured: crystalline HoZr2In at its relaxed geometry at the PBE level of DFT.

Unit cell a=4.5954 b=4.1500 c=10.9951 alpha=100.93 beta=90.00 gamma=90.00
Positions (direct):
In1 0.7500 0.8399 0.6800
Zr1 0.7500 0.4470 0.8943
Zr2 0.2500 0.5530 0.1057
Zr3 0.7500 0.0530 0.1053
Ho1 0.2500 0.3072 0.6148
In2 0.2500 0.1601 0.3200
Zr4 0.2500 0.9470 0.8947
Ho2 0.7500 0.6928 0.3852

Values from the calculation:
Space group: P2_1/m
Formation enthalpy at 0 K (eV per atom): -0.21
Fermi-level density of states (states/eV per cell): 8.5


Computed, not measured: crystalline Ho2Zr2In3 at its relaxed geometry at the PBE level of DFT.

Unit cell a=4.7191 b=3.2253 c=11.5357 alpha=90.00 beta=78.20 gamma=90.00
Positions (direct):
Zr1 0.2885 0.5000 0.4231
In1 0.8434 0.0000 0.3133
Ho1 0.5742 0.5000 0.8516
Zr2 0.7115 0.5000 0.5769
In2 0.0000 0.0000 0.0000
Ho2 0.4258 0.5000 0.1484
In3 0.1566 0.0000 0.6867

Values from the calculation:
Space group: Cmmm
Formation enthalpy at 0 K (eV per atom): -0.23
Fermi-level density of states (states/eV per cell): 6.3


Computed, not measured: crystalline Ho2ZrIn at its relaxed geometry at the PBE level of DFT.

Unit cell a=4.5241 b=4.4130 c=11.0977 alpha=90.00 beta=101.77 gamma=90.00
Positions (direct):
Ho1 0.9356 0.2500 0.8712
In1 0.1741 0.2500 0.3466
Zr1 0.3075 0.2500 0.6171
Ho2 0.0644 0.7500 0.1288
Ho3 0.4292 0.7500 0.8587
In2 0.8259 0.7500 0.6534
Ho4 0.5708 0.2500 0.1413
Zr2 0.6925 0.7500 0.3829

Values from the calculation:
Space group: P2_1/m
Formation enthalpy at 0 K (eV per atom): 0.03
Fermi-level density of states (states/eV per cell): 9.4


Computed, not measured: crystalline Ho3ZrIn4 at its relaxed geometry at the PBE level of DFT.

Unit cell a=3.7785 b=3.7785 c=14.1595 alpha=90.00 beta=90.00 gamma=90.00
Site moments in Bohr magnetons follow the coordinates.
Positions (direct):
Ho1 0.5000 0.5000 0.2398  0.03
In1 0.0000 0.0000 0.3697  0.00
Ho2 0.5000 0.5000 0.7602  0.03
In2 0.0000 0.0000 0.1123  0.01
Ho3 0.5000 0.5000 0.5000  -0.01
In3 0.0000 0.0000 0.6303  0.00
In4 0.0000 0.0000 0.8877  0.01
Zr1 0.5000 0.5000 0.0000  0.30

Values from the calculation:
Space group: P4/mmm
Formation enthalpy at 0 K (eV per atom): -0.38
Fermi-level density of states (states/eV per cell): 5.4


Computed, not measured: crystalline HoZrIn at its relaxed geometry at the PBE level of DFT.

Unit cell a=3.3580 b=3.3580 c=14.1747 alpha=96.80 beta=96.80 gamma=90.00
Positions (direct):
Zr1 0.7126 0.7126 0.4252
Zr2 0.2874 0.2874 0.5748
In1 0.8627 0.8627 0.7253
In2 0.1373 0.1373 0.2747
Ho1 0.5618 0.5618 0.1237
Ho2 0.4382 0.4382 0.8763

Values from the calculation:
Space group: I4/mmm
Formation enthalpy at 0 K (eV per atom): -0.13
Fermi-level density of states (states/eV per cell): 5.4


Computed, not measured: crystalline HoZr4In5 at its relaxed geometry at the PBE level of DFT.

Unit cell a=7.4170 b=8.8567 c=7.5127 alpha=90.00 beta=90.00 gamma=90.00
Positions (direct):
Ho1 0.4442 0.5000 0.5000
Zr1 0.9543 0.0000 0.3205
In1 0.6918 0.7024 0.7834
In2 0.3082 0.7976 0.2834
In3 0.4126 0.5000 0.0000
In4 0.5874 0.0000 0.5000
In5 0.6918 0.2976 0.7834
Zr2 0.0083 0.8198 0.0000
Zr3 0.0457 0.5000 0.8205
Zr4 0.0457 0.5000 0.1795
In6 0.6918 0.7024 0.2166
In7 0.3082 0.7976 0.7166
In8 0.3082 0.2024 0.2834
Zr5 0.9917 0.3198 0.5000
Zr6 0.9543 0.0000 0.6795
Zr7 0.0083 0.1802 0.0000
Zr8 0.9917 0.6802 0.5000
In9 0.6918 0.2976 0.2166
Ho2 0.5558 0.0000 0.0000
In10 0.3082 0.2024 0.7166

Values from the calculation:
Space group: Pmmn
Formation enthalpy at 0 K (eV per atom): -0.08
Fermi-level density of states (states/eV per cell): 14.1


Computed, not measured: crystalline HoIr3 at its relaxed geometry at the PBE level of DFT.

Unit cell a=5.2981 b=5.2981 c=17.5073 alpha=90.00 beta=90.00 gamma=120.00
Positions (direct):
Ir1 0.6667 0.3333 0.2500
Ir2 0.0000 0.0000 0.7500
Ho1 0.6667 0.3333 0.5410
Ir3 0.0000 0.0000 0.0000
Ho2 0.3333 0.6667 0.0410
Ir4 0.1672 0.3343 0.6262
Ir5 0.3333 0.6667 0.7500
Ir6 0.1672 0.3343 0.8738
Ir7 0.0000 0.0000 0.5000
Ho3 0.3333 0.6667 0.4590
Ir8 0.1672 0.8328 0.6262
Ir9 0.6657 0.8328 0.8738
Ho4 0.3333 0.6667 0.2500
Ir10 0.8328 0.6657 0.3738
Ir11 0.8328 0.1672 0.1262
Ho5 0.6667 0.3333 0.9590
Ir12 0.6657 0.8328 0.6262
Ir13 0.3343 0.1672 0.3738
Ir14 0.0000 0.0000 0.2500
Ir15 0.1672 0.8328 0.8738
Ir16 0.3343 0.1672 0.1262
Ho6 0.6667 0.3333 0.7500
Ir17 0.8328 0.1672 0.3738
Ir18 0.8328 0.6657 0.1262

Values from the calculation:
Space group: P6_3/mmc
Formation enthalpy at 0 K (eV per atom): -0.60
Fermi-level density of states (states/eV per cell): 17.0


Computed, not measured: crystalline Ho3Ir2 at its relaxed geometry at the PBE level of DFT.

Unit cell a=4.7392 b=7.6544 c=10.1744 alpha=91.35 beta=90.00 gamma=108.03
Positions (direct):
Ir1 0.6678 0.3356 0.1655
Ho1 0.5010 0.0021 0.6657
Ho2 0.8335 0.6671 0.6666
Ho3 0.1675 0.3351 0.9991
Ir2 0.0013 0.0027 0.8321
Ho4 0.8325 0.6649 0.0009
Ir3 0.9987 0.9973 0.1679
Ir4 0.6655 0.3309 0.5012
Ir5 0.3345 0.6691 0.4988
Ho5 0.1660 0.3320 0.6677
Ho6 0.4990 0.9979 0.3343
Ho7 0.1665 0.3329 0.3334
Ir6 0.3322 0.6644 0.8345
Ho8 0.5000 0.0000 0.0000
Ho9 0.8340 0.6680 0.3323

Values from the calculation:
Space group: C2/m
Formation enthalpy at 0 K (eV per atom): -0.82
Fermi-level density of states (states/eV per cell): 8.2


Computed, not measured: crystalline Ho4Ir at its relaxed geometry at the PBE level of DFT.

Unit cell a=7.2416 b=7.2416 c=7.2440 alpha=107.21 beta=107.21 gamma=114.09
Site moments in Bohr magnetons follow the coordinates.
Positions (direct):
Ho1 0.6373 0.4666 0.7762  0.07
Ho2 0.7166 0.3873 0.2762  0.07
Ho3 0.2737 0.5497 0.3294  0.07
Ho4 0.1943 0.9703 0.1706  0.07
Ho5 0.7997 0.0237 0.8294  0.07
Ir1 0.5803 0.0803 0.5000  0.01
Ho6 0.1111 0.4404 0.7238  0.07
Ho7 0.6904 0.8611 0.2238  0.07
Ho8 0.2203 0.9443 0.6706  0.07
Ir2 0.3303 0.3303 0.0000  0.01

Values from the calculation:
Space group: I-42d
Formation enthalpy at 0 K (eV per atom): -0.41
Fermi-level density of states (states/eV per cell): 11.7


Computed, not measured: crystalline HoIr4 at its relaxed geometry at the PBE level of DFT.

Unit cell a=4.8119 b=4.8119 c=4.8119 alpha=90.00 beta=90.00 gamma=90.00
Site moments in Bohr magnetons follow the coordinates.
Positions (direct):
Ir1 0.5000 0.0000 0.5000  0.76
Ir2 0.0000 0.0000 0.0000  1.30
Ir3 0.5000 0.5000 0.0000  0.76
Ho1 0.5000 0.5000 0.5000  0.00
Ir4 0.0000 0.5000 0.5000  0.76

Values from the calculation:
Space group: Pm-3m
Formation enthalpy at 0 K (eV per atom): 2.43
Fermi-level density of states (states/eV per cell): 8.5


formation enthalpy at 0 K of number 9 (HoIr3)? -0.60 eV per atom


Among the records above, which one has the lowest Fermi-level density of states? number 1


What is the formula in the twelfth record? HoIr4


The lowest formation enthalpy at 0 K belongs to which entry? Ho3Ir2